{
  "formula": "NpGa2Pt",
  "functional": "PBE",
  "state": "relaxed",
  "dos_ef_per_ev_cell": 13.19,
  "final_energy_ev_per_atom": -6.49,
  "vol_a3_per_atom": 18.54,
  "ef_ev_per_atom": -0.23,
  "cell": [[-4.475, 1.365, 0.589], [-2.487, -1.594, 3.676], [-1.130, 2.919, 3.527]],
  "species": ["Pt", "Ga", "Ga", "Np"],
  "frac_coords": [[0.500, 0.500, 0.500], [0.750, 0.750, 0.750], [0.250, 0.250, 0.250], [0.000, 0.000, 0.000]]
}